# ReSiPt (PBE, optimized geometry)
# M_tot = 0.000 μB/atom
# ΔE_f (raw) = -0.14 eV/atom
# Total energy = -8.11 eV per atom
# Offset from the most stable computed form = 0.000 eV/f.u.
data_ReSiPt
_space_group_name_H-M_alt 'P 1'
_space_group_IT_number 1
_space_group_name_Hall 'P 1'
_cell_length_a 2.838
_cell_length_b 2.838
_cell_length_c 6.208
_cell_angle_alpha 90.00
_cell_angle_beta 90.00
_cell_angle_gamma 120.00
loop_
_atom_site_label
_atom_site_type_symbol
_atom_site_fract_x
_atom_site_fract_y
_atom_site_fract_z
Pt1 Pt 0.000 0.000 0.979
Re1 Re 0.333 0.667 0.356
Si1 Si 0.667 0.333 0.666

# Mg2FeHN (PBE, optimized geometry)
# M_tot = 0.404 μB/atom
# Total energy = -4.22 eV per atom
data_Mg2FeHN
_space_group_name_H-M_alt 'P 1'
_space_group_IT_number 1
_space_group_name_Hall 'P 1'
_cell_length_a 4.129
_cell_length_b 3.236
_cell_length_c 4.129
_cell_angle_alpha 90.00
_cell_angle_beta 90.00
_cell_angle_gamma 90.00
loop_
_atom_site_label
_atom_site_type_symbol
_atom_site_fract_x
_atom_site_fract_y
_atom_site_fract_z
H1 H 0.000 0.000 0.000
Mg1 Mg 0.000 0.000 0.500
Mg2 Mg 0.500 0.000 0.000
Fe1 Fe 0.000 0.500 0.000
N1 N 0.500 0.500 0.500

# CsGeRh (PBE, optimized geometry)
# M_tot = 0.000 μB/atom
# Total energy = -4.67 eV per atom
# Energy of formation from the pure elements = -0.39 eV per atom
data_CsGeRh
_space_group_name_H-M_alt 'P 1'
_space_group_IT_number 1
_space_group_name_Hall 'P 1'
_cell_length_a 4.232
_cell_length_b 4.232
_cell_length_c 11.671
_cell_angle_alpha 90.00
_cell_angle_beta 90.00
_cell_angle_gamma 90.00
loop_
_atom_site_label
_atom_site_type_symbol
_atom_site_fract_x
_atom_site_fract_y
_atom_site_fract_z
Cs1 Cs 0.500 0.000 0.214
Cs2 Cs 0.000 0.500 0.786
Ge1 Ge 0.500 0.000 0.608
Ge2 Ge 0.000 0.500 0.392
Rh1 Rh 0.500 0.500 0.500
Rh2 Rh 0.000 0.000 0.500

# Ba2ScTl6 (PBE, optimized geometry)
# M_tot = 0.000 μB/atom
# Total energy = -3.00 eV per atom
# Energy of formation from the pure elements = -0.29 eV per atom
data_Ba2ScTl6
_space_group_name_H-M_alt 'P 1'
_space_group_IT_number 1
_space_group_name_Hall 'P 1'
_cell_length_a 7.475
_cell_length_b 7.475
_cell_length_c 7.464
_cell_angle_alpha 59.83
_cell_angle_beta 59.83
_cell_angle_gamma 59.88
loop_
_atom_site_label
_atom_site_type_symbol
_atom_site_fract_x
_atom_site_fract_y
_atom_site_fract_z
Ba1 Ba 0.250 0.250 0.248
Ba2 Ba 0.750 0.750 0.752
Sc1 Sc 0.500 0.500 0.500
Tl1 Tl 0.218 0.218 0.780
Tl2 Tl 0.217 0.781 0.219
Tl3 Tl 0.783 0.219 0.781
Tl4 Tl 0.781 0.217 0.219
Tl5 Tl 0.219 0.783 0.781
Tl6 Tl 0.782 0.782 0.220

# MgZn2Ni5 (PBE, optimized geometry)
# M_tot = 0.092 μB/atom
# Total energy = -4.21 eV per atom
# Energy of formation from the pure elements = -0.08 eV per atom
data_MgZn2Ni5
_space_group_name_H-M_alt 'P 1'
_space_group_IT_number 1
_space_group_name_Hall 'P 1'
_cell_length_a 2.616
_cell_length_b 6.395
_cell_length_c 6.395
_cell_angle_alpha 73.86
_cell_angle_beta 78.20
_cell_angle_gamma 78.20
loop_
_atom_site_label
_atom_site_type_symbol
_atom_site_fract_x
_atom_site_fract_y
_atom_site_fract_z
Mg1 Mg 0.000 0.000 0.000
Zn1 Zn 0.752 0.748 0.748
Zn2 Zn 0.248 0.252 0.252
Ni1 Ni 0.000 0.500 0.500
Ni2 Ni 0.627 0.603 0.144
Ni3 Ni 0.373 0.397 0.856
Ni4 Ni 0.373 0.856 0.397
Ni5 Ni 0.627 0.144 0.603

# ZnPb4F10 (PBE, optimized geometry)
# M_tot = 0.000 μB/atom
# ΔE_f (raw) = -2.33 eV/atom
# Total energy = -4.65 eV per atom
data_ZnPb4F10
_space_group_name_H-M_alt 'P 1'
_space_group_IT_number 1
_space_group_name_Hall 'P 1'
_cell_length_a 4.190
_cell_length_b 4.190
_cell_length_c 16.637
_cell_angle_alpha 82.77
_cell_angle_beta 82.77
_cell_angle_gamma 60.00
loop_
_atom_site_label
_atom_site_type_symbol
_atom_site_fract_x
_atom_site_fract_y
_atom_site_fract_z
Zn1 Zn 0.000 0.000 0.000
Pb1 Pb 0.393 0.393 0.822
Pb2 Pb 0.798 0.798 0.606
Pb3 Pb 0.202 0.202 0.394
Pb4 Pb 0.607 0.607 0.178
F1 F 0.960 0.960 0.119
F2 F 0.150 0.150 0.550
F3 F 0.553 0.553 0.342
F4 F 0.344 0.344 0.967
F5 F 0.743 0.743 0.772
F6 F 0.656 0.656 0.033
F7 F 0.850 0.850 0.450
F8 F 0.257 0.257 0.228
F9 F 0.040 0.040 0.881
F10 F 0.447 0.447 0.658

# Ca2BeMoBr (PBE, optimized geometry)
# M_tot = 0.001 μB/atom
# ΔE_f (raw) = 0.89 eV/atom
# Total energy = -3.16 eV per atom
data_Ca2BeMoBr
_space_group_name_H-M_alt 'P 1'
_space_group_IT_number 1
_space_group_name_Hall 'P 1'
_cell_length_a 5.740
_cell_length_b 4.764
_cell_length_c 5.740
_cell_angle_alpha 90.00
_cell_angle_beta 90.00
_cell_angle_gamma 90.00
loop_
_atom_site_label
_atom_site_type_symbol
_atom_site_fract_x
_atom_site_fract_y
_atom_site_fract_z
Be1 Be 0.500 0.500 0.500
Mo1 Mo 0.000 0.000 0.000
Ca1 Ca 0.000 0.000 0.500
Ca2 Ca 0.500 0.000 0.000
Br1 Br 0.000 0.500 0.000

# Sr3DyTm3S8 (PBE, optimized geometry)
# M_tot = 0.000 μB/atom
# ΔE_f (raw) = -2.07 eV/atom
# Total energy = -5.81 eV per atom
data_Sr3DyTm3S8
_space_group_name_H-M_alt 'P 1'
_space_group_IT_number 1
_space_group_name_Hall 'P 1'
_cell_length_a 7.922
_cell_length_b 7.918
_cell_length_c 8.220
_cell_angle_alpha 118.79
_cell_angle_beta 90.01
_cell_angle_gamma 119.99
loop_
_atom_site_label
_atom_site_type_symbol
_atom_site_fract_x
_atom_site_fract_y
_atom_site_fract_z
Sr1 Sr 0.000 0.000 0.000
Sr2 Sr 0.000 0.500 0.000
Sr3 Sr 0.500 0.500 0.000
Dy1 Dy 0.000 0.000 0.500
Tm1 Tm 0.500 0.000 0.500
Tm2 Tm 0.500 0.500 0.500
Tm3 Tm 0.000 0.500 0.500
S1 S 0.258 0.517 0.276
S2 S 0.742 0.483 0.724
S3 S 0.758 0.516 0.278
S4 S 0.242 0.484 0.722
S5 S 0.758 0.020 0.278
S6 S 0.242 0.980 0.722
S7 S 0.263 0.020 0.278
S8 S 0.737 0.980 0.722

# NiMo2W (PBE, optimized geometry)
# M_tot = 0.000 μB/atom
# Total energy = -9.97 eV per atom
# Energy of formation from the pure elements = 0.13 eV per atom
# Offset from the most stable computed form = 0.337 eV/f.u.
data_NiMo2W
_space_group_name_H-M_alt 'P 1'
_space_group_IT_number 1
_space_group_name_Hall 'P 1'
_cell_length_a 4.415
_cell_length_b 2.655
_cell_length_c 5.150
_cell_angle_alpha 81.45
_cell_angle_beta 90.00
_cell_angle_gamma 90.00
loop_
_atom_site_label
_atom_site_type_symbol
_atom_site_fract_x
_atom_site_fract_y
_atom_site_fract_z
Mo1 Mo 0.000 0.982 0.996
Mo2 Mo 0.500 0.219 0.256
Ni1 Ni 0.000 0.579 0.500
W1 W 0.500 0.720 0.747

# HfCuAu (PBE, optimized geometry)
# M_tot = 0.000 μB/atom
# Total energy = -5.48 eV per atom
# Energy of formation from the pure elements = 0.29 eV per atom
# Offset from the most stable computed form = 1.928 eV/f.u.
data_HfCuAu
_space_group_name_H-M_alt 'P 1'
_space_group_IT_number 1
_space_group_name_Hall 'P 1'
_cell_length_a 2.844
_cell_length_b 2.844
_cell_length_c 7.546
_cell_angle_alpha 100.86
_cell_angle_beta 100.86
_cell_angle_gamma 90.00
loop_
_atom_site_label
_atom_site_type_symbol
_atom_site_fract_x
_atom_site_fract_y
_atom_site_fract_z
Hf1 Hf 0.764 0.764 0.529
Au1 Au 0.953 0.953 0.906
Cu1 Cu 0.133 0.133 0.265

# PrZn2Cu6 (PBE, optimized geometry)
# M_tot = 0.000 μB/atom
# Total energy = -3.18 eV per atom
# Energy of formation from the pure elements = 0.36 eV per atom
data_PrZn2Cu6
_space_group_name_H-M_alt 'P 1'
_space_group_IT_number 1
_space_group_name_Hall 'P 1'
_cell_length_a 7.790
_cell_length_b 7.790
_cell_length_c 7.790
_cell_angle_alpha 60.00
_cell_angle_beta 60.00
_cell_angle_gamma 60.00
loop_
_atom_site_label
_atom_site_type_symbol
_atom_site_fract_x
_atom_site_fract_y
_atom_site_fract_z
Pr1 Pr 0.500 0.500 0.500
Pr2 Pr 0.750 0.750 0.750
Zn1 Zn 0.125 0.125 0.125
Zn2 Zn 0.125 0.625 0.125
Zn3 Zn 0.125 0.125 0.625
Zn4 Zn 0.625 0.125 0.125
Cu1 Cu 0.246 0.246 0.754
Cu2 Cu 0.754 0.754 0.246
Cu3 Cu 0.246 0.754 0.246
Cu4 Cu 0.246 0.754 0.754
Cu5 Cu 0.496 0.496 0.004
Cu6 Cu 0.496 0.004 0.004
Cu7 Cu 0.754 0.246 0.754
Cu8 Cu 0.004 0.004 0.496
Cu9 Cu 0.496 0.004 0.496
Cu10 Cu 0.004 0.496 0.496
Cu11 Cu 0.754 0.246 0.246
Cu12 Cu 0.004 0.496 0.004